KFeRuO4, optimized geometry, DFT GGA+U; calculated volume = 14.88 Å³ per atom; VASP energy = -6.19 eV per atom
1.0
5.4865 0.0000 0.0000
0.0000 5.5807 0.0000
-1.6061 0.0000 6.8039
K Fe Ru O
2 2 2 8
direct
0.1535 0.2500 0.0963
0.8465 0.7500 0.9037
0.3906 0.2500 0.6508
0.6094 0.7500 0.3492
0.1358 0.7500 0.4619
0.8642 0.2500 0.5381
0.1295 0.0147 0.6765
0.1295 0.4853 0.6765
0.2709 0.7500 0.2120
0.4936 0.7500 0.5851
0.5064 0.2500 0.4149
0.7291 0.2500 0.7880
0.8705 0.5147 0.3235
0.8705 0.9853 0.3235